First-principles (PBE) data for crystalline Zn3CoIr at its relaxed geometry, as listed in Alexandria.

## Properties
calculated density: 6.98 g/cm³
magnetic moment: 2.18 μB/cell
E_tot: -3.149 eV/atom
formation energy: 4.045 eV per formula unit
distance to the lowest polymorph of the same formula: 0.000 eV per atom

a b c (Å): 4.7387 4.7387 4.7387
angles (deg): 90.00 90.00 90.00
With the nearest neighbours (Å) after each atom.
Positions (direct):
Zn1 0.0000 0.0000 0.5000  2 Ir 2.37
Zn2 0.0000 0.5000 0.0000  2 Ir 2.37
Zn3 0.5000 0.0000 0.0000  2 Ir 2.37
Co1 0.5000 0.5000 0.5000  12 Zn 3.35
Ir1 0.0000 0.0000 0.0000  6 Zn 2.37

First-principles (PBE) data for crystalline ZnCoIr at its relaxed geometry, as listed in Alexandria.

## Properties
calculated density: 13.18 g/cm³
magnetic moment: 1.79 μB/cell
E_tot: -5.765 eV/atom
formation energy: -0.054 eV per formula unit
distance to the lowest polymorph of the same formula: 0.017 eV per atom

a b c (Å): 2.6999 2.6999 6.3187
angles (deg): 90.00 90.00 120.00
With the nearest neighbours (Å) after each atom.
Positions (direct):
Zn1 0.0000 0.0000 0.0000  3 Co 2.58, 6 Zn 2.70, 3 Ir 2.72
Co1 0.3333 0.6667 0.3251  3 Ir 2.56, 3 Zn 2.58, 6 Co 2.70
Ir1 0.6667 0.3333 0.6474  3 Co 2.56, 6 Ir 2.70, 3 Zn 2.72

First-principles (PBE) data for crystalline ZrZnCoIr2 at its relaxed geometry, as listed in Alexandria.

## Properties
calculated density: 9.27 g/cm³
magnetic moment: 0.94 μB/cell
E_tot: -5.481 eV/atom
formation energy: 7.243 eV per formula unit

a b c (Å): 4.8740 4.8740 4.5226
angles (deg): 90.00 90.00 90.00
With the nearest neighbours (Å) after each atom.
Positions (direct):
Zr1 0.0000 0.0000 0.0000  2 Co 2.26, 4 Ir 2.44
Zn1 0.5000 0.5000 0.5000  8 Ir 3.32, 4 Co 3.45
Co1 0.0000 0.0000 0.5000  2 Zr 2.26
Ir1 0.0000 0.5000 0.0000  2 Zr 2.44
Ir2 0.5000 0.0000 0.0000  2 Zr 2.44

Question: The highest E_tot belongs to which entry?
Answer: Zn3CoIr